# 1
# KMo12S14

Crystalline KMo12S14 at its relaxed geometry (GGA-PBE, Alexandria). Values from VASP.

Summary:
- formation energy without anion corrections (eV/atom) = -0.69
- magnetization (Bohr magnetons per cell) = 0.00
- N(E_F) (states/eV/f.u.) = 7.902
- raw total energy (eV/cell) = -414.73

```
&SYSTEM
  ibrav = 0, nat = 54, ntyp = 3
/
ATOMIC_SPECIES
K 39.10 K.upf
Mo 95.94 Mo.upf
S 32.06 S.upf
ATOMIC_POSITIONS crystal
K 0.333 0.667 0.250
K 0.667 0.333 0.750
Mo 0.158 0.505 0.958
Mo 0.158 0.653 0.542
Mo 0.165 0.496 0.684
Mo 0.165 0.669 0.816
Mo 0.331 0.496 0.816
Mo 0.331 0.835 0.684
Mo 0.347 0.505 0.542
Mo 0.347 0.842 0.958
Mo 0.495 0.653 0.958
Mo 0.495 0.842 0.542
Mo 0.496 0.165 0.184
Mo 0.496 0.331 0.316
Mo 0.504 0.669 0.684
Mo 0.504 0.835 0.816
Mo 0.505 0.158 0.458
Mo 0.505 0.347 0.042
Mo 0.653 0.158 0.042
Mo 0.653 0.495 0.458
Mo 0.669 0.165 0.316
Mo 0.669 0.504 0.184
Mo 0.835 0.331 0.184
Mo 0.835 0.504 0.316
Mo 0.842 0.347 0.458
Mo 0.842 0.495 0.042
S 0.022 0.362 0.819
S 0.022 0.661 0.681
S 0.043 0.351 0.557
S 0.043 0.691 0.943
S 0.309 0.351 0.943
S 0.309 0.957 0.557
S 0.333 0.667 0.068
S 0.333 0.667 0.432
S 0.339 0.362 0.681
S 0.339 0.978 0.819
S 0.351 0.043 0.057
S 0.351 0.309 0.443
S 0.362 0.022 0.319
S 0.362 0.339 0.181
S 0.638 0.661 0.819
S 0.638 0.978 0.681
S 0.649 0.691 0.557
S 0.649 0.957 0.943
S 0.661 0.022 0.181
S 0.661 0.638 0.319
S 0.667 0.333 0.568
S 0.667 0.333 0.932
S 0.691 0.043 0.443
S 0.691 0.649 0.057
S 0.957 0.309 0.057
S 0.957 0.649 0.443
S 0.978 0.339 0.319
S 0.978 0.638 0.181
CELL_PARAMETERS angstrom
9.264 0.000 0.000
-4.632 8.023 0.000
0.000 0.000 16.469
```



# 2
# Cu2AsPt

Crystalline Cu2AsPt at its relaxed geometry (GGA-PBE, Alexandria). Values from VASP.

Summary:
- magnetization (Bohr magnetons per cell) = 0.00
- energy of formation from the pure elements (meV per atom) = 92.5
- N(E_F) (states/eV/f.u.) = 1.494
- raw total energy (eV/cell) = -18.51

```
&SYSTEM
  ibrav = 0, nat = 4, ntyp = 3
/
ATOMIC_SPECIES
Cu 63.55 Cu.upf
As 74.92 As.upf
Pt 195.08 Pt.upf
ATOMIC_POSITIONS crystal
Cu 0.000 0.000 0.000
Cu 0.256 0.256 0.256
As 0.751 0.751 0.751
Pt 0.504 0.504 0.504
CELL_PARAMETERS angstrom
1.445 0.834 8.185
-1.445 0.834 8.185
0.000 -1.668 8.185
```



# 3
# NaHg3Pt

Crystalline NaHg3Pt at its relaxed geometry (GGA-PBE, Alexandria). Values from VASP.

Summary:
- offset from the most stable computed form (eV/f.u.) = 0.00
- magnetization (Bohr magnetons per cell) = 0.00
- energy of formation from the pure elements (meV per atom) = -132.1
- N(E_F) (states/eV/f.u.) = 2.415
- raw total energy (eV/cell) = -8.93

```
&SYSTEM
  ibrav = 0, nat = 5, ntyp = 3
/
ATOMIC_SPECIES
Na 22.99 Na.upf
Hg 200.59 Hg.upf
Pt 195.08 Pt.upf
ATOMIC_POSITIONS crystal
Na 0.000 0.000 0.000
Hg 0.000 0.500 0.500
Hg 0.500 0.000 0.500
Hg 0.500 0.500 0.000
Pt 0.500 0.500 0.500
CELL_PARAMETERS angstrom
5.316 0.000 0.000
0.000 5.316 0.000
0.000 0.000 5.316
```



# 4
# Dy2CuNi12B3

Crystalline Dy2CuNi12B3 at its relaxed geometry (GGA-PBE, Alexandria). Values from VASP.

Summary:
- magnetization (Bohr magnetons per cell) = 0.00
- energy of formation from the pure elements (meV per atom) = -23.1
- N(E_F) (states/eV/f.u.) = 11.513
- raw total energy (eV/cell) = -103.12

```
&SYSTEM
  ibrav = 0, nat = 18, ntyp = 4
/
ATOMIC_SPECIES
Dy 162.50 Dy.upf
Cu 63.55 Cu.upf
Ni 58.69 Ni.upf
B 10.81 B.upf
ATOMIC_POSITIONS crystal
Dy 0.095 0.095 0.095
Dy 0.905 0.905 0.905
Cu 0.500 0.500 0.500
Ni 0.075 0.641 0.641
Ni 0.228 0.228 0.624
Ni 0.228 0.624 0.228
Ni 0.359 0.359 0.925
Ni 0.359 0.925 0.359
Ni 0.376 0.772 0.772
Ni 0.624 0.228 0.228
Ni 0.641 0.075 0.641
Ni 0.641 0.641 0.075
Ni 0.772 0.376 0.772
Ni 0.772 0.772 0.376
Ni 0.925 0.359 0.359
B 0.000 0.500 0.500
B 0.500 0.000 0.500
B 0.500 0.500 0.000
CELL_PARAMETERS angstrom
3.528 2.037 5.369
-3.528 2.037 5.369
0.000 -4.073 5.369
```



# 5
# KZr3Be

Crystalline KZr3Be at its relaxed geometry (GGA-PBE, Alexandria). Values from VASP.

Summary:
- offset from the most stable computed form (eV/f.u.) = 7.02
- magnetization (Bohr magnetons per cell) = 0.00
- energy of formation from the pure elements (meV per atom) = 2220.7
- N(E_F) (states/eV/f.u.) = 10.125
- raw total energy (eV/cell) = -19.36

```
&SYSTEM
  ibrav = 0, nat = 5, ntyp = 3
/
ATOMIC_SPECIES
K 39.10 K.upf
Zr 91.22 Zr.upf
Be 9.01 Be.upf
ATOMIC_POSITIONS crystal
K 0.000 0.000 0.000
Zr 0.000 0.000 0.500
Zr 0.000 0.500 0.000
Zr 0.500 0.000 0.000
Be 0.500 0.500 0.500
CELL_PARAMETERS angstrom
4.834 0.000 0.000
0.000 4.834 0.000
0.000 0.000 4.834
```



# 6
# CrGa3B

Crystalline CrGa3B at its relaxed geometry (GGA-PBE, Alexandria). Values from VASP.

Summary:
- offset from the most stable computed form (eV/f.u.) = 0.99
- magnetization (Bohr magnetons per cell) = 1.45
- energy of formation from the pure elements (meV per atom) = 1185.7
- N(E_F) (states/eV/f.u.) = 2.932
- raw total energy (eV/cell) = -19.45

```
&SYSTEM
  ibrav = 0, nat = 5, ntyp = 3
/
ATOMIC_SPECIES
Cr 52.00 Cr.upf
Ga 69.72 Ga.upf
B 10.81 B.upf
ATOMIC_POSITIONS crystal
Cr 0.000 0.000 0.000
Ga 0.000 0.000 0.500
Ga 0.000 0.500 0.000
Ga 0.500 0.000 0.000
B 0.500 0.500 0.500
CELL_PARAMETERS angstrom
4.701 0.000 0.000
0.000 4.701 0.000
0.000 0.000 4.701
```



# 7
# Hf3CoTc2

Crystalline Hf3CoTc2 at its relaxed geometry (GGA-PBE, Alexandria). Values from VASP.

Summary:
- magnetization (Bohr magnetons per cell) = 0.25
- energy of formation from the pure elements (meV per atom) = -489.3
- N(E_F) (states/eV/f.u.) = 4.946
- raw total energy (eV/cell) = -60.63

```
&SYSTEM
  ibrav = 0, nat = 6, ntyp = 3
/
ATOMIC_SPECIES
Hf 178.49 Hf.upf
Co 58.93 Co.upf
Tc 98.00 Tc.upf
ATOMIC_POSITIONS crystal
Hf 0.000 0.000 0.000
Hf 0.000 0.000 0.336
Hf 0.000 0.000 0.664
Co 0.500 0.500 0.500
Tc 0.500 0.500 0.173
Tc 0.500 0.500 0.827
CELL_PARAMETERS angstrom
3.244 0.000 0.000
0.000 3.244 0.000
0.000 0.000 9.602
```



# 8
# PmHoAlAu

Crystalline PmHoAlAu at its relaxed geometry (GGA-PBE, Alexandria). Values from VASP.

Summary:
- offset from the most stable computed form (eV/f.u.) = 0.21
- magnetization (Bohr magnetons per cell) = 0.00
- energy of formation from the pure elements (meV per atom) = -529.7
- N(E_F) (states/eV/f.u.) = 3.948
- raw total energy (eV/cell) = -18.47

```
&SYSTEM
  ibrav = 0, nat = 4, ntyp = 4
/
ATOMIC_SPECIES
Pm 145.00 Pm.upf
Ho 164.93 Ho.upf
Al 26.98 Al.upf
Au 196.97 Au.upf
ATOMIC_POSITIONS crystal
Pm 0.000 0.000 0.000
Ho 0.500 0.500 0.500
Al 0.250 0.250 0.250
Au 0.750 0.750 0.750
CELL_PARAMETERS angstrom
0.000 3.671 3.671
3.671 0.000 3.671
3.671 3.671 0.000
```



# 9
# KTiCdBr2

Crystalline KTiCdBr2 at its relaxed geometry (GGA-PBE, Alexandria). Values from VASP.

Summary:
- formation energy without anion corrections (eV/atom) = -0.56
- magnetization (Bohr magnetons per cell) = 2.10
- N(E_F) (states/eV/f.u.) = 3.887
- raw total energy (eV/cell) = -16.04

```
&SYSTEM
  ibrav = 0, nat = 5, ntyp = 4
/
ATOMIC_SPECIES
K 39.10 K.upf
Ti 47.87 Ti.upf
Cd 112.41 Cd.upf
Br 79.90 Br.upf
ATOMIC_POSITIONS crystal
K 0.000 0.000 0.000
Ti 0.500 0.500 0.500
Cd 0.500 0.500 0.000
Br 0.000 0.500 0.500
Br 0.500 0.000 0.500
CELL_PARAMETERS angstrom
5.191 0.000 0.000
0.000 5.191 0.000
0.000 0.000 5.610
```



# 10
# Ba3Tb4O9

Crystalline Ba3Tb4O9 at its relaxed geometry (GGA-PBE, Alexandria). Values from VASP.

Summary:
- formation energy without anion corrections (eV/atom) = -3.15
- magnetization (Bohr magnetons per cell) = 0.00
- N(E_F) (states/eV/f.u.) = 0.000
- raw total energy (eV/cell) = -119.32

```
&SYSTEM
  ibrav = 0, nat = 16, ntyp = 3
/
ATOMIC_SPECIES
Ba 137.33 Ba.upf
Tb 158.93 Tb.upf
O 16.00 O.upf
ATOMIC_POSITIONS crystal
Ba 0.000 0.000 0.000
Ba 0.167 0.167 0.167
Ba 0.589 0.589 0.589
Tb 0.301 0.301 0.301
Tb 0.427 0.427 0.427
Tb 0.739 0.739 0.739
Tb 0.865 0.865 0.865
O 0.015 0.149 0.584
O 0.039 0.581 0.458
O 0.122 0.716 0.576
O 0.149 0.584 0.015
O 0.458 0.039 0.581
O 0.576 0.122 0.716
O 0.581 0.458 0.039
O 0.584 0.015 0.149
O 0.716 0.576 0.122
CELL_PARAMETERS angstrom
3.088 1.783 8.594
-3.088 1.783 8.594
0.000 -3.566 8.594
```



# 11
# Nd8Ga3CoBr4

Crystalline Nd8Ga3CoBr4 at its relaxed geometry (GGA-PBE, Alexandria). Values from VASP.

Summary:
- formation energy without anion corrections (eV/atom) = -0.83
- magnetization (Bohr magnetons per cell) = 0.00
- N(E_F) (states/eV/f.u.) = 13.590
- raw total energy (eV/cell) = -74.23

```
&SYSTEM
  ibrav = 0, nat = 16, ntyp = 4
/
ATOMIC_SPECIES
Nd 144.24 Nd.upf
Ga 69.72 Ga.upf
Co 58.93 Co.upf
Br 79.90 Br.upf
ATOMIC_POSITIONS crystal
Nd 0.224 0.761 0.709
Nd 0.231 0.231 0.718
Nd 0.239 0.776 0.291
Nd 0.255 0.255 0.264
Nd 0.745 0.745 0.736
Nd 0.761 0.224 0.709
Nd 0.769 0.769 0.282
Nd 0.776 0.239 0.291
Ga 0.000 0.500 0.500
Ga 0.500 0.000 0.500
Ga 0.500 0.500 0.500
Co 0.000 0.000 0.500
Br 0.000 0.000 0.000
Br 0.000 0.500 0.000
Br 0.500 0.000 0.000
Br 0.500 0.500 0.000
CELL_PARAMETERS angstrom
7.391 -4.196 0.000
7.391 4.196 0.000
-4.973 0.000 7.429
```



Question: Which value of magnetization does entry 6 give?
Answer: 1.45 Bohr magnetons per cell



Repeat the eleventh record exactly.
# Nd8Ga3CoBr4

Crystalline Nd8Ga3CoBr4 at its relaxed geometry (GGA-PBE, Alexandria). Values from VASP.

Summary:
- formation energy without anion corrections (eV/atom) = -0.83
- magnetization (Bohr magnetons per cell) = 0.00
- N(E_F) (states/eV/f.u.) = 13.590
- raw total energy (eV/cell) = -74.23

```
&SYSTEM
  ibrav = 0, nat = 16, ntyp = 4
/
ATOMIC_SPECIES
Nd 144.24 Nd.upf
Ga 69.72 Ga.upf
Co 58.93 Co.upf
Br 79.90 Br.upf
ATOMIC_POSITIONS crystal
Nd 0.224 0.761 0.709
Nd 0.231 0.231 0.718
Nd 0.239 0.776 0.291
Nd 0.255 0.255 0.264
Nd 0.745 0.745 0.736
Nd 0.761 0.224 0.709
Nd 0.769 0.769 0.282
Nd 0.776 0.239 0.291
Ga 0.000 0.500 0.500
Ga 0.500 0.000 0.500
Ga 0.500 0.500 0.500
Co 0.000 0.000 0.500
Br 0.000 0.000 0.000
Br 0.000 0.500 0.000
Br 0.500 0.000 0.000
Br 0.500 0.500 0.000
CELL_PARAMETERS angstrom
7.391 -4.196 0.000
7.391 4.196 0.000
-4.973 0.000 7.429
```